First-principles (PBE) data for a relaxed PmY6Ho2Er3 crystal, as listed in Alexandria.

```
data_PmY6Ho2Er3
_space_group_name_H-M_alt 'C 1 2/m 1'
_space_group_IT_number 12
_cell_length_a 6.1574
_cell_length_b 10.6522
_cell_length_c 11.7825
_cell_angle_alpha 90.00
_cell_angle_beta 99.98
_cell_angle_gamma 90.00
loop_
_space_group_symop_operation_xyz
'x,y,z'
'-x,-y,-z'
'-x,y,-z'
'x,-y,z'
'x+1/2,y+1/2,z'
'-x+1/2,-y+1/2,-z'
'-x+1/2,y+1/2,-z'
'x+1/2,-y+1/2,z'
loop_
_atom_site_label
_atom_site_type_symbol
_atom_site_fract_x
_atom_site_fract_y
_atom_site_fract_z
Pm1 Pm 0.0000 0.0000 0.0000
Y1 Y 0.2488 0.3331 0.7484
Y2 Y 0.2496 0.0000 0.7484
Ho1 Ho 0.0000 0.3334 0.0000
Er1 Er 0.0000 0.1669 0.5000
Er2 Er 0.0000 0.5000 0.5000
```

Results
For the theoretical density, the calculation gives 6.59 Mg/m³. The crystal system is monoclinic. Its formation energy is 23 meV per atom. The calculation puts the density of states at the Fermi level at 17.312 states/eV/f.u.